The following is a DFT calculation (PBE-GGA) of ZnCuAsW after structural relaxation.

a b c (Å): 6.318 6.318 6.318
angles (deg): 90.00 90.00 90.00
Space group F-43m (No. 216)
Inequivalent atoms, fractional coordinates:
Zn  0.000  0.000  0.000 [4 per cell]
Cu  0.000  0.000  0.500 [4 per cell]
As  0.250  0.250  0.250 [4 per cell]
W  0.250  0.250  0.750 [4 per cell]

Properties
Polymorph energy (0 for the lowest one) = 37.5 kJ/mol of atoms


The following is a DFT calculation (PBE-GGA) of ZnGaCuHg after structural relaxation.

a b c (Å): 6.512 6.512 6.512
angles (deg): 90.00 90.00 90.00
Space group F-43m (No. 216)
Inequivalent atoms, fractional coordinates:
Zn  0.000  0.000  0.000 [4 per cell]
Ga  0.250  0.250  0.250 [4 per cell]
Cu  0.000  0.000  0.500 [4 per cell]
Hg  0.250  0.250  0.750 [4 per cell]

Properties
Polymorph energy (0 for the lowest one) = 0.0 kJ/mol of atoms


The following is a DFT calculation (PBE-GGA) of TmBeBi after structural relaxation.

a b c (Å): 6.918 6.918 6.918
angles (deg): 90.00 90.00 90.00
Space group F-43m (No. 216)
Inequivalent atoms, fractional coordinates:
Tm  0.000  0.000  0.000 [4 per cell]
Be  0.250  0.250  0.750 [4 per cell]
Bi  0.250  0.250  0.250 [4 per cell]

Properties
E = -45.12 eV/cell


The following is a DFT calculation (PBE-GGA) of BaThTl after structural relaxation.

a b c (Å): 7.882 7.882 7.882
angles (deg): 90.00 90.00 90.00
Space group F-43m (No. 216)
Inequivalent atoms, fractional coordinates:
Ba  0.000  0.000  0.000 [4 per cell]
Th  0.000  0.000  0.500 [4 per cell]
Tl  0.250  0.250  0.250 [4 per cell]

Properties
Polymorph energy (0 for the lowest one) = 0.0 kJ/mol of atoms


The following is a DFT calculation (PBE-GGA) of Sm2Si2IBr after structural relaxation.

a b c (Å): 4.1317 4.1317 11.4995
angles (deg): 90.00 90.00 120.00
Space group P3m1 (No. 156)
Inequivalent atoms, fractional coordinates:
Sm  0.0000  0.0000  0.0000 [1 per cell]
Sm  0.0000  0.0000  0.3407 [1 per cell]
Si  0.3333  0.6667  0.1636 [1 per cell]
Si  0.6667  0.3333  0.1771 [1 per cell]
I  0.3333  0.6667  0.5242 [1 per cell]
Br  0.6667  0.3333  0.8391 [1 per cell]

Properties
E = -30.39 eV/cell


The following is a DFT calculation (PBE-GGA) of PrSi2Pd after structural relaxation.

a b c (Å): 4.159 6.270 5.824
angles (deg): 90.00 90.00 90.00
Space group Pmn2_1 (No. 31)
Inequivalent atoms, fractional coordinates:
Pr  0.000  0.096  0.000 [2 per cell]
Si  0.000  0.274  0.504 [2 per cell]
Si  0.000  0.635  0.748 [2 per cell]
Pd  0.000  0.591  0.206 [2 per cell]

Properties
E = -46.84 eV/cell


The following is a DFT calculation (PBE-GGA) of Sc2Ga3SiPt2 after structural relaxation.

a b c (Å): 9.800 4.214 6.518
angles (deg): 90.00 90.71 90.00
Space group Cm (No. 8)
Inequivalent atoms, fractional coordinates:
Sc  0.000  0.000  0.000 [2 per cell]
Sc  0.163  0.000  0.508 [2 per cell]
Ga  0.199  0.500  0.803 [2 per cell]
Ga  0.212  0.500  0.210 [2 per cell]
Ga  0.454  0.000  0.303 [2 per cell]
Si  0.447  0.000  0.706 [2 per cell]
Pt  0.289  0.000  0.996 [2 per cell]
Pt  0.380  0.500  0.520 [2 per cell]

Properties
E = -92.74 eV/cell


The following is a DFT calculation (PBE-GGA) of MgAgAu2 after structural relaxation.

a b c (Å): 4.170 4.170 8.140
angles (deg): 90.00 90.00 90.00
Space group I4/mmm (No. 139)
Inequivalent atoms, fractional coordinates:
Mg  0.000  0.000  0.000 [2 per cell]
Ag  0.000  0.000  0.500 [2 per cell]
Au  0.000  0.500  0.250 [4 per cell]

Properties
E = -24.70 eV/cell


The following is a DFT calculation (PBE-GGA) of Nd2Ni4I after structural relaxation.

a b c (Å): 6.727 6.727 7.550
angles (deg): 90.00 90.00 90.00
Space group I4/mmm (No. 139)
Inequivalent atoms, fractional coordinates:
Nd  0.000  0.500  0.250 [4 per cell]
Ni  0.000  0.233  0.000 [8 per cell]
I  0.000  0.000  0.500 [2 per cell]

Properties
E = -61.27 eV/cell


The following is a DFT calculation (PBE-GGA) of NbCoAu2 after structural relaxation.

a b c (Å): 6.352 6.352 6.352
angles (deg): 90.00 90.00 90.00
Space group F-43m (No. 216)
Inequivalent atoms, fractional coordinates:
Nb  0.000  0.000  0.000 [4 per cell]
Co  0.250  0.250  0.250 [4 per cell]
Au  0.000  0.000  0.500 [4 per cell]
Au  0.250  0.250  0.750 [4 per cell]

Properties
Energy relative to the elements = 107 meV/atom


The following is a DFT calculation (PBE-GGA) of FeW4C2S after structural relaxation.

a b c (Å): 3.0700 3.0700 12.5035
angles (deg): 90.00 90.00 120.00
Space group P-6m2 (No. 187)
Inequivalent atoms, fractional coordinates:
Fe  0.0000  0.0000  0.0000 [1 per cell]
W  0.0000  0.0000  0.3440 [2 per cell]
W  0.3333  0.6667  0.1555 [2 per cell]
C  0.6667  0.3333  0.2507 [2 per cell]
S  0.3333  0.6667  0.5000 [1 per cell]

Properties
E = -81.00 eV/cell


The following is a DFT calculation (PBE-GGA) of AcAg2 after structural relaxation.

a b c (Å): 4.865 8.048 8.308
angles (deg): 90.00 90.00 90.00
Space group Imma (No. 74)
Inequivalent atoms, fractional coordinates:
Ac  0.000  0.250  0.001 [4 per cell]
Ag  0.000  0.001  0.668 [8 per cell]

Properties
Energy relative to the elements = -322 meV/atom